DFT (GGA-PBE) results for a relaxed ScAgPd6 crystal.

Summary:
Formation energy (eV per atom): -0.4226
Total energy (eV for the cell shown): -43.72

Cell: 3.993 3.993 8.069 Å, 90.00 90.00 90.00°
Sites, in units of the cell vectors:
Sc  0.000  0.000  0.000
Ag  0.000  0.000  0.500
Pd  0.000  0.500  0.247
Pd  0.000  0.500  0.753
Pd  0.500  0.000  0.247
Pd  0.500  0.000  0.753
Pd  0.500  0.500  0.000
Pd  0.500  0.500  0.500